No. 1
## HfCoW3 (GGA-PBE)

Data for a relaxed HfCoW3 crystal.

abc: 4.5061 4.5061 4.5061
angles: 90.00 90.00 90.00
With the nearest neighbours (Å) after each atom.
Fractional positions:
Co (0.0000, 0.0000, 0.0000)  6 W 2.25
Hf (0.5000, 0.5000, 0.5000)  12 W 3.19
W (0.0000, 0.5000, 0.0000)  2 Co 2.25
W (0.0000, 0.0000, 0.5000)  2 Co 2.25
W (0.5000, 0.0000, 0.0000)  2 Co 2.25

Its density of states at the Fermi level is 3.61 states/eV/cell. Its symmetry is Pm-3m, No. 221. For the size of the total moment, the calculation gives 0.000 μB/f.u. The total DFT energy (no corrections) is -10.1155 eV/atom. The calculation puts the mass density at 14.318 Mg/m³. Its energy above the most stable polymorph in this dataset is 0.0 meV per atom.



No. 2
## HfCo2W (GGA-PBE)

Data for a relaxed HfCo2W crystal.

abc: 4.3631 4.3631 4.3631
angles: 60.00 60.00 60.00
With the nearest neighbours (Å) after each atom.
Fractional positions:
Co (0.2500, 0.2500, 0.2500)  4 Hf 2.67, 4 W 2.67
Co (0.7500, 0.7500, 0.7500)  4 W 2.67, 4 Hf 2.67
Hf (0.0000, 0.0000, 0.0000)  8 Co 2.67
W (0.5000, 0.5000, 0.5000)  8 Co 2.67

Its density of states at the Fermi level is 2.99 states/eV/cell. Its symmetry is Fm-3m, No. 225. For the size of the total moment, the calculation gives 3.409 μB/f.u. The total DFT energy (no corrections) is -9.2967 eV/atom. The calculation puts the mass density at 13.577 Mg/m³. Its energy above the most stable polymorph in this dataset is 0.0 meV per atom.



No. 3
## Hf2Co2W (GGA-PBE)

Data for a relaxed Hf2Co2W crystal.

abc: 6.3042 6.3042 4.0708
angles: 90.00 90.00 90.00
With the nearest neighbours (Å) after each atom.
Fractional positions:
Co (0.3671, 0.8671, 0.0000)  1 Co 2.37, 2 W 2.46, 2 Hf 2.65
Co (0.8671, 0.6329, 0.0000)  1 Co 2.37, 2 W 2.46, 2 Hf 2.65
Co (0.6329, 0.1329, 0.0000)  1 Co 2.37, 2 W 2.46, 2 Hf 2.65
Co (0.1329, 0.3671, 0.0000)  1 Co 2.37, 2 W 2.46, 2 Hf 2.65
Hf (0.1772, 0.6772, 0.5000)  6 Co 2.65-2.84
Hf (0.6772, 0.8228, 0.5000)  6 Co 2.65-2.84
Hf (0.8228, 0.3228, 0.5000)  6 Co 2.65-2.84
Hf (0.3228, 0.1772, 0.5000)  6 Co 2.65-2.84
W (0.0000, 0.0000, 0.0000)  4 Co 2.46
W (0.5000, 0.5000, 0.0000)  4 Co 2.46

Its density of states at the Fermi level is 13.54 states/eV/cell. Its symmetry is P4/mbm, No. 127. For the size of the total moment, the calculation gives 0.000 μB/f.u. The total DFT energy (no corrections) is -9.5775 eV/atom. The calculation puts the mass density at 13.521 Mg/m³. Its energy above the most stable polymorph in this dataset is 0.0 meV per atom.



Number 1: energy of formation from the pure elements 1.07 eV/atom. Number 2: energy of formation from the pure elements -0.02 eV/atom. Number 3: energy of formation from the pure elements -0.16 eV/atom.